CrFeP2 GGA-PBEsol relaxed; offset from the most stable computed form = 0.000 eV per atom; size of the total moment = 1.75 μB per formula unit; ΔH_f (0 K) = -63 kJ/mol of atoms; symmetry = No. 26
1.0
3.016 0.000 0.000
0.000 5.829 0.000
0.000 0.000 5.203
Cr Fe P
2 2 4
Direct
0.000 0.051 0.000
0.000 0.949 0.500
0.500 0.444 0.989
0.500 0.556 0.489
0.000 0.322 0.682
0.000 0.678 0.182
0.500 0.192 0.309
0.500 0.808 0.809

***

CuRe2Ir GGA-PBEsol relaxed; offset from the most stable computed form = 0.003 eV per atom; size of the total moment = 0.00 μB per formula unit; ΔH_f (0 K) = 15 kJ/mol of atoms; symmetry = No. 12
1.0
4.525 -1.357 0.000
4.525 1.357 0.000
-0.793 0.000 4.509
Cu Re Ir
1 2 1
Direct
0.000 0.000 0.000
0.244 0.244 0.748
0.756 0.756 0.252
0.500 0.500 0.500

***

Ca2BeCo GGA-PBEsol relaxed; size of the total moment = 0.00 μB per formula unit; ΔH_f (0 K) = 23 kJ/mol of atoms; symmetry = No. 44
1.0
-1.790 2.174 5.427
1.790 -2.174 5.427
1.790 2.174 -5.427
Ca Be Co
2 1 1
Direct
0.000 0.000 0.000
0.731 0.231 0.500
0.422 0.422 0.000
0.326 0.826 0.500

***

TaGaSe3 GGA-PBEsol relaxed; size of the total moment = 0.00 μB per formula unit; ΔE_f (raw) = -0.2422 eV per atom; symmetry = No. 221
1.0
5.001 0.000 0.000
0.000 5.001 0.000
0.000 0.000 5.001
Ta Ga Se
1 1 3
Direct
0.000 0.000 0.000
0.500 0.500 0.500
0.000 0.000 0.500
0.000 0.500 0.000
0.500 0.000 0.000

***

SrLa3Cr4O12 GGA-PBEsol relaxed; size of the total moment = 11.00 μB per formula unit; ΔE_f (raw) = -2.7158 eV per atom; symmetry = No. 3
1.0
5.399 0.000 0.000
0.000 5.471 0.000
-0.142 0.000 7.682
Sr La Cr O
1 3 4 12
Direct
0.000 0.000 0.000
0.000 0.002 0.500
0.500 0.502 0.000
0.500 0.505 0.500
0.000 0.502 0.249
0.000 0.502 0.751
0.500 0.002 0.249
0.500 0.002 0.751
0.000 0.453 0.000
0.000 0.559 0.500
0.224 0.226 0.284
0.225 0.777 0.771
0.279 0.281 0.720
0.285 0.717 0.227
0.500 0.063 0.000
0.500 0.948 0.500
0.715 0.717 0.773
0.721 0.281 0.280
0.775 0.777 0.229
0.776 0.226 0.716

***

MgAsAu GGA-PBEsol relaxed; size of the total moment = 0.00 μB per formula unit; ΔH_f (0 K) = -23 kJ/mol of atoms; symmetry = No. 156
1.0
4.266 0.000 0.000
-2.133 3.695 0.000
0.000 0.000 3.739
Mg As Au
1 1 1
Direct
0.000 0.000 0.000
0.333 0.667 0.465
0.667 0.333 0.615

***

- Which value of size of the total moment does entry 1 give?
  1.75 μB per formula unit